The following is a DFT calculation (PBE) of a relaxed Ba2LaFe crystal.

For the formation energy, the calculation gives 3.79 eV/f.u. Its crystal system is cubic. The value obtained for the density of states at the Fermi level is 8.80 states/eV/cell. The calculation puts the energy above the most stable polymorph in this dataset at 639 meV per atom. The total energy is -0.1235 hartree per atom.

Geometry as POSCAR:
```
Ba2LaFe
1.0
2.2344 -3.3365 -3.9852
-0.2545 -5.6248 0.5508
-3.3819 -3.0232 -3.3808
Fe La Ba
1 1 2
direct
0.0000 0.0000 0.0000 Fe
0.5000 0.5000 0.5000 La
0.2500 0.2500 0.2500 Ba
0.7500 0.7500 0.7500 Ba
```

---

The following is a DFT calculation (PBE) of a relaxed Tl2Hg6Au crystal.

For the formation energy, the calculation gives 0.05 eV/f.u. Its crystal system is monoclinic. The value obtained for the density of states at the Fermi level is 3.34 states/eV/cell. The calculation puts the energy above the most stable polymorph in this dataset at 0 meV per atom. The total energy is -0.0399 hartree per atom.

Geometry as POSCAR:
```
Tl2Hg6Au
1.0
6.3519 -0.0411 -0.0238
0.0220 6.7024 0.0045
0.0220 3.3432 5.8091
Hg Au Tl
6 1 2
direct
0.6906 0.1787 0.1787 Hg
0.3108 0.3575 0.8213 Hg
0.3108 0.8213 0.3575 Hg
0.3094 0.8213 0.8213 Hg
0.6892 0.1787 0.6425 Hg
0.6892 0.6425 0.1787 Hg
0.0000 0.0000 0.0000 Au
0.8213 0.6668 0.6668 Tl
0.1787 0.3332 0.3332 Tl
```

---

The following is a DFT calculation (PBE) of a relaxed PrHoRhPb crystal.

For the formation energy, the calculation gives -1.81 eV/f.u. Its crystal system is cubic. The value obtained for the density of states at the Fermi level is 3.46 states/eV/cell. The total energy is -0.2042 hartree per atom.

Geometry as POSCAR:
```
PrHoRhPb
1.0
5.2444 0.0000 0.0000
2.6222 4.5418 0.0000
2.6222 1.5139 4.2820
Ho Pb Rh Pr
1 1 1 1
direct
0.2500 0.2500 0.2500 Ho
0.5000 0.5000 0.5000 Pb
0.0000 0.0000 0.0000 Rh
0.7500 0.7500 0.7500 Pr
```

---

The following is a DFT calculation (PBE) of a relaxed PrY6Ho2Th3 crystal.

For the formation energy, the calculation gives 0.28 eV/f.u. Its crystal system is monoclinic. The value obtained for the density of states at the Fermi level is 17.85 states/eV/cell. The total energy is -0.2288 hartree per atom.

Geometry as POSCAR:
```
PrY6Ho2Th3
1.0
6.2094 -0.0011 0.0046
-3.1041 5.3778 0.0046
-1.0458 -1.8108 11.6020
Y Th Ho Pr
6 3 2 1
direct
0.0851 0.4191 0.2548 Y
0.7510 0.7510 0.2548 Y
0.5809 0.9149 0.7452 Y
0.9149 0.5809 0.7452 Y
0.2490 0.2490 0.7452 Y
0.4191 0.0851 0.2548 Y
0.1663 0.8337 0.5000 Th
0.5000 0.5000 0.5000 Th
0.8337 0.1663 0.5000 Th
0.3332 0.6668 0.0000 Ho
0.6668 0.3332 0.0000 Ho
0.0000 0.0000 0.0000 Pr
```

---

The following is a DFT calculation (PBE) of a relaxed Mn3TcCl crystal.

Its crystal system is cubic. The value obtained for the density of states at the Fermi level is 7.06 states/eV/cell. The calculation puts the energy above the most stable polymorph in this dataset at 0 meV per atom. The total energy is -0.2558 hartree per atom.

Geometry as POSCAR:
```
Mn3TcCl
1.0
-0.8479 3.8367 1.5252
1.2950 -1.2313 3.8173
3.9204 1.2365 -0.9311
Cl Mn Tc
1 3 1
direct
0.0000 0.0000 0.0000 Cl
0.5000 0.0000 0.0000 Mn
0.0000 0.0000 0.5000 Mn
0.0000 0.5000 0.0000 Mn
0.5000 0.5000 0.5000 Tc
```

---

The following is a DFT calculation (PBE) of a relaxed YAsRu2 crystal.

For the formation energy, the calculation gives -0.64 eV/f.u. Its crystal system is tetragonal. The value obtained for the density of states at the Fermi level is 2.65 states/eV/cell. The total energy is -0.2784 hartree per atom.

Geometry as POSCAR:
```
YAsRu2
1.0
-3.5867 -0.8508 -3.7522
-0.3166 -4.8714 -1.9587
0.1012 2.2108 4.7717
Ru Y As
2 1 1
direct
0.0000 0.0000 0.0000 Ru
0.2500 0.7500 0.5000 Ru
0.5000 0.5000 0.0000 Y
0.7500 0.2500 0.5000 As
```

---

The following is a DFT calculation (PBE) of a relaxed BeAsP2 crystal.

For the formation energy, the calculation gives 2.00 eV/f.u. Its crystal system is orthorhombic. The value obtained for the density of states at the Fermi level is 1.52 states/eV/cell. The calculation puts the energy above the most stable polymorph in this dataset at 484 meV per atom. The total energy is -0.1580 hartree per atom.

Geometry as POSCAR:
```
BeAsP2
1.0
5.1930 0.0167 -0.0128
1.9473 4.8141 0.0128
-2.8426 -3.4908 2.5888
P Be As
2 1 1
direct
0.8218 0.3218 0.5000 P
0.0189 0.0189 0.0000 P
0.2206 0.7206 0.5000 Be
0.4386 0.4386 0.0000 As
```

---

The following is a DFT calculation (PBE) of a relaxed CaBi2RhO6 crystal.

Its crystal system is monoclinic. The value obtained for the density of states at the Fermi level is 10.48 states/eV/cell. The total energy is -0.2250 hartree per atom.

Geometry as POSCAR:
```
CaBi2RhO6
1.0
5.5720 0.0000 -0.0406
0.0000 6.1575 0.0000
-0.0099 -0.0001 8.1912
Bi O Rh Ca
4 12 2 2
direct
0.4914 0.4420 0.2224 Bi
0.5086 0.5580 0.7776 Bi
0.0086 0.9420 0.2776 Bi
0.9914 0.0580 0.7224 Bi
0.1799 0.1617 0.4768 O
0.6837 0.2617 0.5850 O
0.3201 0.6617 0.0232 O
0.1837 0.2383 0.0850 O
0.3163 0.7383 0.4150 O
0.6194 0.0732 0.2718 O
0.8806 0.5732 0.2282 O
0.6799 0.3383 0.9768 O
0.8201 0.8383 0.5232 O
0.8163 0.7617 0.9150 O
0.3806 0.9268 0.7282 O
0.1194 0.4268 0.7718 O
0.0000 0.5000 0.0000 Rh
0.5000 0.0000 0.5000 Rh
0.0000 0.5000 0.5000 Ca
0.5000 0.0000 0.0000 Ca
```

---

The following is a DFT calculation (PBE) of a relaxed TlZnCdHg2 crystal.

For the formation energy, the calculation gives 0.89 eV/f.u. Its crystal system is tetragonal. The value obtained for the density of states at the Fermi level is 2.16 states/eV/cell. The calculation puts the energy above the most stable polymorph in this dataset at 50 meV per atom. The total energy is -0.0313 hartree per atom.

Geometry as POSCAR:
```
TlZnCdHg2
1.0
-4.4443 -1.6165 2.3928
-1.7934 -1.8970 -4.6125
2.3082 -4.7705 1.0645
Zn Hg Tl Cd
1 2 1 1
direct
0.0000 0.0000 0.0000 Zn
0.0000 0.5000 0.0000 Hg
0.5000 0.0000 0.0000 Hg
0.0000 0.0000 0.5000 Tl
0.5000 0.5000 0.5000 Cd
```

---

The following is a DFT calculation (PBE) of a relaxed Zn2CuTe crystal.

Its crystal system is cubic. The value obtained for the density of states at the Fermi level is 2.47 states/eV/cell. The calculation puts the energy above the most stable polymorph in this dataset at 321 meV per atom. The total energy is -0.0774 hartree per atom.

Geometry as POSCAR:
```
Zn2CuTe
1.0
0.0000 3.3670 3.3670
3.3670 0.0000 3.3670
3.3670 3.3670 0.0000
Zn Te Cu
2 1 1
direct
0.2500 0.2500 0.2500 Zn
0.7500 0.7500 0.7500 Zn
0.5000 0.5000 0.5000 Te
0.0000 0.0000 0.0000 Cu
```

---

The following is a DFT calculation (PBE) of a relaxed Sb3Mo crystal.

Its crystal system is orthorhombic. The value obtained for the density of states at the Fermi level is 6.64 states/eV/cell. The calculation puts the energy above the most stable polymorph in this dataset at 363 meV per atom. The total energy is -0.1940 hartree per atom.

Geometry as POSCAR:
```
Sb3Mo
1.0
-0.0382 2.0620 7.2978
-3.2097 -5.6016 -3.9790
4.0164 -2.8980 0.8398
Sb Mo
6 2
direct
0.0614 0.9386 0.7500 Sb
0.4311 0.0603 0.2500 Sb
0.9397 0.5689 0.2500 Sb
0.9386 0.0614 0.2500 Sb
0.0603 0.4311 0.7500 Sb
0.5689 0.9397 0.7500 Sb
0.4817 0.5183 0.7500 Mo
0.5183 0.4817 0.2500 Mo
```

---

The following is a DFT calculation (PBE) of a relaxed CrCuAs crystal.

For the formation energy, the calculation gives 1.08 eV/f.u. Its crystal system is trigonal. The value obtained for the density of states at the Fermi level is 2.54 states/eV/cell. The total energy is -0.2118 hartree per atom.

Geometry as POSCAR:
```
CrCuAs
1.0
2.8448 0.0000 0.0000
-1.4224 2.4637 0.0000
0.0000 0.0000 6.1739
As Cu Cr
1 1 1
direct
0.0000 0.0000 0.0175 As
0.3333 0.6667 0.6550 Cu
0.6667 0.3333 0.3275 Cr
```